(1)
A relaxed structure of KRuO3, computed with PBE.

Calculated values
The value obtained for the volume is 78.0 Å³/cell. Its total energy is -3.2758 eV/atom. The uncorrected formation energy comes out at 8.87 eV/f.u.

Lattice parameters (Å, degrees): 4.2721 4.2721 4.2721 90.00 90.00 90.00
Element x y z (fractional)
1 K 0.0000 0.0000 0.0000
2 Ru 0.5000 0.5000 0.5000
3 O 0.0000 0.0000 0.5000
4 O 0.0000 0.5000 0.0000
5 O 0.5000 0.0000 0.0000

=====

(2)
A relaxed structure of KRu3O12, computed with PBE.

Calculated values
The value obtained for the volume is 774.2 Å³/cell. Its total energy is -6.3244 eV/atom. The uncorrected formation energy comes out at -12.77 eV/f.u.

Lattice parameters (Å, degrees): 11.8970 11.8970 11.8970 45.28 45.28 45.28
Element x y z (fractional)
1 K 0.0000 0.0000 0.0000
2 K 0.5000 0.5000 0.5000
3 Ru 0.1146 0.7767 0.4141
4 Ru 0.2767 0.6146 0.9141
5 Ru 0.4141 0.1146 0.7767
6 Ru 0.6146 0.9141 0.2767
7 Ru 0.7767 0.4141 0.1146
8 Ru 0.9141 0.2767 0.6146
9 O 0.0362 0.3822 0.4064
10 O 0.0410 0.0558 0.6876
11 O 0.0558 0.6876 0.0410
12 O 0.1207 0.8176 0.2389
13 O 0.1876 0.5558 0.5410
14 O 0.2389 0.1207 0.8176
15 O 0.2508 0.8475 0.3406
16 O 0.3176 0.6207 0.7389
17 O 0.3406 0.2508 0.8475
18 O 0.3475 0.7508 0.8406
19 O 0.3822 0.4064 0.0362
20 O 0.4064 0.0362 0.3822
21 O 0.5362 0.9064 0.8822
22 O 0.5410 0.1876 0.5558
23 O 0.5558 0.5410 0.1876
24 O 0.6207 0.7389 0.3176
25 O 0.6876 0.0410 0.0558
26 O 0.7389 0.3176 0.6207
27 O 0.7508 0.8406 0.3475
28 O 0.8176 0.2389 0.1207
29 O 0.8406 0.3475 0.7508
30 O 0.8475 0.3406 0.2508
31 O 0.8822 0.5362 0.9064
32 O 0.9064 0.8822 0.5362

=====

(3)
A relaxed structure of K3RuO4, computed with PBE.

Calculated values
The value obtained for the volume is 605.8 Å³/cell. Its total energy is -5.3486 eV/atom. The uncorrected formation energy comes out at -10.39 eV/f.u.

Lattice parameters (Å, degrees): 7.8054 9.1563 8.4771 90.00 90.00 90.00
Element x y z (fractional)
1 K 0.0312 0.0306 0.2423
2 K 0.0312 0.4694 0.2423
3 K 0.1965 0.7500 0.4653
4 K 0.3035 0.2500 0.9653
5 K 0.4688 0.5306 0.7423
6 K 0.4688 0.9694 0.7423
7 K 0.5312 0.0306 0.2577
8 K 0.5312 0.4694 0.2577
9 K 0.6965 0.7500 0.0347
10 K 0.8035 0.2500 0.5347
11 K 0.9688 0.5306 0.7577
12 K 0.9688 0.9694 0.7577
13 Ru 0.2125 0.7500 0.0002
14 Ru 0.2875 0.2500 0.5002
15 Ru 0.7125 0.7500 0.4998
16 Ru 0.7875 0.2500 0.9998
17 O 0.0275 0.7500 0.1351
18 O 0.1996 0.0649 0.5292
19 O 0.1996 0.4351 0.5292
20 O 0.2136 0.7500 0.7795
21 O 0.2864 0.2500 0.2795
22 O 0.3004 0.5649 0.0292
23 O 0.3004 0.9351 0.0292
24 O 0.4725 0.2500 0.6351
25 O 0.5275 0.7500 0.3649
26 O 0.6996 0.0649 0.9708
27 O 0.6996 0.4351 0.9708
28 O 0.7136 0.7500 0.7205
29 O 0.7864 0.2500 0.2205
30 O 0.8004 0.5649 0.4708
31 O 0.8004 0.9351 0.4708
32 O 0.9725 0.2500 0.8649

=====

(4)
A relaxed structure of KRuS2O8, computed with PBE.

Calculated values
The value obtained for the volume is 169.3 Å³/cell. Its total energy is -6.1834 eV/atom. The uncorrected formation energy comes out at -15.91 eV/f.u.

Lattice parameters (Å, degrees): 4.8322 4.8322 8.3734 90.00 90.00 120.00
Element x y z (fractional)
1 K 0.0000 0.0000 0.0000
2 Ru 0.0000 0.0000 0.5000
3 S 0.3333 0.6667 0.7089
4 S 0.6667 0.3333 0.2911
5 O 0.0518 0.3605 0.6500
6 O 0.3087 0.9482 0.6500
7 O 0.3333 0.6667 0.8835
8 O 0.3605 0.3087 0.3500
9 O 0.6395 0.6913 0.6500
10 O 0.6667 0.3333 0.1165
11 O 0.6913 0.0518 0.3500
12 O 0.9482 0.6395 0.3500

=====

(5)
A relaxed structure of KSbRu2O8, computed with PBE.

Calculated values
The value obtained for the volume is 174.6 Å³/cell. Its total energy is -6.3031 eV/atom. The uncorrected formation energy comes out at -12.20 eV/f.u.

Lattice parameters (Å, degrees): 5.1194 5.1194 7.3439 105.01 105.01 73.42
Element x y z (fractional)
1 K 0.0000 0.0000 0.0000
2 Sb 0.0000 0.0000 0.5000
3 Ru 0.4535 0.4535 0.7717
4 Ru 0.5465 0.5465 0.2283
5 O 0.1976 0.7198 0.2811
6 O 0.2532 0.2532 0.5428
7 O 0.2802 0.8024 0.7189
8 O 0.3454 0.3454 0.9519
9 O 0.6546 0.6546 0.0481
10 O 0.7198 0.1976 0.2811
11 O 0.7468 0.7468 0.4572
12 O 0.8024 0.2802 0.7189

=====

(6)
A relaxed structure of KSbRuO2, computed with PBE.

Calculated values
The value obtained for the volume is 127.6 Å³/cell. Its total energy is -4.1791 eV/atom. The uncorrected formation energy comes out at 3.52 eV/f.u.

Lattice parameters (Å, degrees): 4.1159 4.1159 7.5296 90.00 90.00 90.00
Element x y z (fractional)
1 K 0.0000 0.0000 0.0000
2 Sb 0.0000 0.0000 0.5000
3 Ru 0.5000 0.5000 0.0000
4 O 0.0000 0.5000 0.5000
5 O 0.5000 0.0000 0.5000